Entry from Alexandria: HfScI after structural relaxation (PBE).

```
HfScI
1.0
3.503 0.000 0.000
-1.752 3.034 0.000
0.000 0.000 13.721
Hf Sc I
2 2 2
Cartesian
1.752 1.011 3.767
1.752 1.011 8.557
1.752 1.011 13.022
0.000 2.023 6.162
0.000 2.023 1.512
0.000 2.023 10.811
```

uncorrected energy	-6.06	eV per atom
raw formation energy	-0.36	eV/f.u.
SG	P-6m2 (187)